[1]
This record from the Alexandria database describes BaInHgAu3 after structural relaxation. The functional is PBE.

Energy of formation in eV per atom: -0.313
Density in g cm⁻³: 10.4
Uncorrected energy in eV per atom: -2.78

Geometry as CIF:
```
data_BaInHgAu3
_symmetry_space_group_name_H-M 'C m c m'
_symmetry_Int_Tables_number 63
_symmetry_space_group_name_Hall '-C 2c 2'
_cell_length_a 7.044
_cell_length_b 13.747
_cell_length_c 6.859
_cell_angle_alpha 90.00
_cell_angle_beta 90.00
_cell_angle_gamma 90.00
loop_
_atom_site_label
_atom_site_fract_x
_atom_site_fract_y
_atom_site_fract_z
Ba1 0.000 0.200 0.250
In1 0.000 0.459 0.250
Hg1 0.000 0.139 0.750
Au1 0.000 0.339 0.750
Au2 0.199 0.000 0.000
```



[2]
This record from the Alexandria database describes BaInHgAu2 after structural relaxation. The functional is PBE.

Polymorph energy (0 for the lowest one) in meV per atom: 0
Energy of formation in eV per atom: -0.499
Density in g cm⁻³: 10.3
Uncorrected energy in eV per atom: -2.80

Geometry as CIF:
```
data_BaInHgAu2
_symmetry_space_group_name_H-M 'I -4 m 2'
_symmetry_Int_Tables_number 119
_symmetry_space_group_name_Hall 'I -4 -2'
_cell_length_a 4.613
_cell_length_b 4.613
_cell_length_c 12.772
_cell_angle_alpha 90.00
_cell_angle_beta 90.00
_cell_angle_gamma 90.00
loop_
_atom_site_label
_atom_site_fract_x
_atom_site_fract_y
_atom_site_fract_z
Ba1 0.000 0.000 0.000
In1 0.000 0.500 0.250
Hg1 0.000 0.500 0.750
Au1 0.000 0.000 0.391
```



[3]
This record from the Alexandria database describes BaInHgAu2 after structural relaxation. The functional is PBE.

Polymorph energy (0 for the lowest one) in meV per atom: 896
Energy of formation in eV per atom: 0.397
Density in g cm⁻³: 5.2
Uncorrected energy in eV per atom: -1.91

Geometry as CIF:
```
data_BaInHgAu2
_symmetry_space_group_name_H-M 'P 4/m m m'
_symmetry_Int_Tables_number 123
_symmetry_space_group_name_Hall '-P 4 2'
_cell_length_a 6.166
_cell_length_b 6.166
_cell_length_c 7.052
_cell_angle_alpha 90.00
_cell_angle_beta 90.00
_cell_angle_gamma 90.00
loop_
_atom_site_label
_atom_site_fract_x
_atom_site_fract_y
_atom_site_fract_z
Ba1 0.000 0.000 0.000
In1 0.000 0.000 0.500
Hg1 0.500 0.500 0.500
Au1 0.000 0.500 0.000
```



[4]
This record from the Alexandria database describes Ba2InHg4Au3 after structural relaxation. The functional is PBE.

Energy of formation in eV per atom: -0.426
Density in g cm⁻³: 10.6
Uncorrected energy in eV per atom: -2.19

Geometry as CIF:
```
data_Ba2InHg4Au3
_symmetry_space_group_name_H-M 'P -4 m 2'
_symmetry_Int_Tables_number 115
_cell_length_a 4.620
_cell_length_b 4.620
_cell_length_c 13.027
_cell_angle_alpha 90.00
_cell_angle_beta 90.00
_cell_angle_gamma 90.00
loop_
_symmetry_equiv_pos_as_xyz
'x,y,z'
'y,-x,-z'
'-x,-y,z'
'-y,x,-z'
'-x,y,z'
'-y,-x,-z'
'x,-y,z'
'y,x,-z'
loop_
_atom_site_label
_atom_site_fract_x
_atom_site_fract_y
_atom_site_fract_z
Ba1 0.000 0.500 0.242
In1 0.000 0.000 0.500
Hg1 0.000 0.000 0.000
Hg2 0.000 0.500 0.641
Hg3 0.500 0.500 0.000
Au1 0.000 0.500 0.858
Au2 0.500 0.500 0.500
```



[5]
This record from the Alexandria database describes Ba8HgIrAu2 after structural relaxation. The functional is PBE.

Energy of formation in eV per atom: -0.389
Density in g cm⁻³: 5.3
Uncorrected energy in eV per atom: -2.98

Geometry as CIF:
```
data_Ba8HgIrAu2
_symmetry_space_group_name_H-M 'P 1 2/m 1'
_symmetry_Int_Tables_number 10
_cell_length_a 7.636
_cell_length_b 9.847
_cell_length_c 7.872
_cell_angle_alpha 90.00
_cell_angle_beta 90.41
_cell_angle_gamma 90.00
loop_
_symmetry_equiv_pos_as_xyz
'x,y,z'
'-x,-y,-z'
'-x,y,-z'
'x,-y,z'
loop_
_atom_site_label
_atom_site_fract_x
_atom_site_fract_y
_atom_site_fract_z
Ba1 0.220 0.000 0.334
Ba2 0.241 0.500 0.309
Ba3 0.280 0.276 0.828
Hg1 0.500 0.000 0.000
Ir1 0.500 0.500 0.000
Au1 0.000 0.255 0.500
```



[6]
This record from the Alexandria database describes KBaHgAu after structural relaxation. The functional is PBE.

Polymorph energy (0 for the lowest one) in meV per atom: 0
Energy of formation in eV per atom: -0.444
Density in g cm⁻³: 6.6
Uncorrected energy in eV per atom: -2.09

Geometry as CIF:
```
data_KBaHgAu
_symmetry_space_group_name_H-M 'A m m 2'
_symmetry_Int_Tables_number 38
_cell_length_a 4.838
_cell_length_b 4.744
_cell_length_c 12.667
_cell_angle_alpha 90.00
_cell_angle_beta 90.00
_cell_angle_gamma 90.00
loop_
_symmetry_equiv_pos_as_xyz
'x,y,z'
'-x,-y,z'
'-x,y,z'
'x,-y,z'
'x,y+1/2,z+1/2'
'-x,-y+1/2,z+1/2'
'-x,y+1/2,z+1/2'
'x,-y+1/2,z+1/2'
loop_
_atom_site_label
_atom_site_fract_x
_atom_site_fract_y
_atom_site_fract_z
K1 0.000 0.000 0.000
Ba1 0.500 0.000 0.283
Hg1 0.500 0.000 0.574
Au1 0.000 0.000 0.719
```



[7]
This record from the Alexandria database describes KBaHgAu after structural relaxation. The functional is PBE.

Polymorph energy (0 for the lowest one) in meV per atom: 50
Energy of formation in eV per atom: -0.395
Density in g cm⁻³: 7.0
Uncorrected energy in eV per atom: -2.04

Geometry as CIF:
```
data_KBaHgAu
_symmetry_space_group_name_H-M 'F -4 3 m'
_symmetry_Int_Tables_number 216
_symmetry_space_group_name_Hall 'F -4 2 3'
_cell_length_a 8.163
_cell_length_b 8.163
_cell_length_c 8.163
_cell_angle_alpha 90.00
_cell_angle_beta 90.00
_cell_angle_gamma 90.00
loop_
_atom_site_label
_atom_site_fract_x
_atom_site_fract_y
_atom_site_fract_z
K1 0.000 0.000 0.000
Ba1 0.000 0.000 0.500
Hg1 0.250 0.250 0.750
Au1 0.250 0.250 0.250
```



[8]
This record from the Alexandria database describes K2BaHgAu after structural relaxation. The functional is PBE.

Energy of formation in eV per atom: -0.177
Density in g cm⁻³: 4.1
Uncorrected energy in eV per atom: -1.72

Geometry as CIF:
```
data_K2BaHgAu
_symmetry_space_group_name_H-M 'P 4/m m m'
_symmetry_Int_Tables_number 123
_symmetry_space_group_name_Hall '-P 4 2'
_cell_length_a 6.224
_cell_length_b 6.224
_cell_length_c 6.386
_cell_angle_alpha 90.00
_cell_angle_beta 90.00
_cell_angle_gamma 90.00
loop_
_atom_site_label
_atom_site_fract_x
_atom_site_fract_y
_atom_site_fract_z
K1 0.000 0.500 0.000
Ba1 0.000 0.000 0.500
Hg1 0.500 0.500 0.500
Au1 0.000 0.000 0.000
```